Material: AgCF2
Method: DFT, PBE
State: relaxed

Output
- formation energy (no corrections) (eV/atom) = 0.817
- M_tot (μB/f.u.) = 1.0
- energy (eV/cell) = -50.2

Unit cell a=5.7284 b=5.7284 c=5.7284 alpha=90.00 beta=90.00 gamma=90.00
Space group Fm-3m (No. 225)
Symmetry-distinct sites (fractional):
Ag: 0.0000 0.0000 0.0000 (multiplicity 4)
C: 0.0000 0.0000 0.5000 (multiplicity 4)
F: 0.2500 0.2500 0.2500 (multiplicity 8)